# PPb

A geometry-optimized PPb structure (GGA-PBE, the Alexandria database).

For the total magnetization, the calculation gives 0.0 μB/cell. For the electronic total energy, the calculation gives -4.46 eV/atom. The volume comes out at 26.2 Å³/atom.

The space group is P-3m1 (No. 164) and the conventional cell measures 3.3826, 3.3826 and 10.5765 Å, with angles of 90.00, 90.00 and 120.00 degrees. The inequivalent atoms are P at (0.3333, 0.6667, 0.0573) and Pb at (0.3333, 0.6667, 0.6356).